VASP calculation (PBE) on a relaxed Ba4Ga2H crystal.

Geometry as POSCAR:
```
Ba4Ga2H
1.0
-2.665 3.505 0.736
-5.326 -4.309 1.238
4.781 -0.746 7.326
Ba Ga H
4 2 1
direct
0.849 0.182 0.697
0.151 0.818 0.303
0.580 0.273 0.160
0.420 0.727 0.840
0.241 0.390 0.482
0.759 0.610 0.518
0.000 0.000 0.000
```

ΔE to the lowest computed polymorph (kJ/mol of formula units): 0